Below is TaMo2C after structural relaxation, with properties calculated at the PBE level.

Results
calculated volume = 168.63 Å³/cell
E = -129.4 eV for the cell shown

Cell: 3.0652 3.0652 20.7247 Å, 90.00 90.00 120.00°
Space group R3m (No. 160, hexagonal axes)
Symmetry-distinct sites (fractional):
Ta1 0.0000 0.0000 0.0000
Mo1 0.0000 0.0000 0.5463
Mo2 0.0000 0.0000 0.7749
C1 0.0000 0.0000 0.2717

Below is TaMoC3 after structural relaxation, with properties calculated at the PBE level.

Results
calculated volume = 62.04 Å³/cell
energy above the lowest structure with this stoichiometry = 0 kJ/mol of formula units

Cell: 3.959 3.959 3.959 Å, 90.00 90.00 90.00°
Space group Pm-3m (No. 221)
Symmetry-distinct sites (fractional):
Ta1 0.000 0.000 0.000
Mo1 0.500 0.500 0.500
C1 0.000 0.500 0.500

Below is Ta2MoC after structural relaxation, with properties calculated at the PBE level.

Results
calculated volume = 116.24 Å³/cell
E = -86.4 eV for the cell shown

Cell: 3.192 4.754 7.658 Å, 90.00 90.00 90.00°
Space group Cmm2 (No. 35)
Symmetry-distinct sites (fractional):
Ta1 0.000 0.000 0.000
Ta2 0.000 0.500 0.312
Mo1 0.000 0.000 0.614
C1 0.000 0.500 0.805

Below is Ta2MoC after structural relaxation, with properties calculated at the PBE level.

Results
calculated volume = 58.34 Å³/cell
E = -40.2 eV for the cell shown

Cell: 3.378 4.016 4.300 Å, 90.00 90.00 90.00°
Space group Pmmm (No. 47)
Symmetry-distinct sites (fractional):
Ta1 0.000 0.000 0.000
Ta2 0.500 0.000 0.500
Mo1 0.000 0.500 0.500
C1 0.500 0.500 0.000

Below is TaMo2C after structural relaxation, with properties calculated at the PBE level.

Results
calculated volume = 112.39 Å³/cell
E = -83.4 eV for the cell shown

Cell: 3.132 4.743 7.566 Å, 90.00 90.00 90.00°
Space group Cmmm (No. 65)
Symmetry-distinct sites (fractional):
Ta1 0.000 0.000 0.000
Mo1 0.000 0.500 0.309
C1 0.000 0.000 0.500

Below is Ta2MoC after structural relaxation, with properties calculated at the PBE level.

Results
calculated volume = 115.34 Å³/cell
E = -87.4 eV for the cell shown

Cell: 3.233 4.708 7.579 Å, 90.00 90.00 90.00°
Space group Cmmm (No. 65)
Symmetry-distinct sites (fractional):
Ta1 0.000 0.000 0.199
Mo1 0.000 0.500 0.500
C1 0.000 0.500 0.000

Below is TaMo2C after structural relaxation, with properties calculated at the PBE level.

Results
calculated volume = 57.85 Å³/cell
E = -39.6 eV for the cell shown

Cell: 3.453 3.453 4.851 Å, 90.00 90.00 90.00°
Space group P4/mmm (No. 123)
Symmetry-distinct sites (fractional):
Ta1 0.000 0.000 0.000
Mo1 0.000 0.500 0.500
C1 0.500 0.500 0.000

Below is TaMo2C after structural relaxation, with properties calculated at the PBE level.

Results
calculated volume = 115.53 Å³/cell
E = -77.8 eV for the cell shown

Cell: 5.028 9.115 3.030 Å, 90.00 123.70 90.00°
Space group C2/m (No. 12)
Symmetry-distinct sites (fractional):
Ta1 0.000 0.000 0.000
Mo1 0.250 0.250 0.500
C1 0.000 0.500 0.000

Below is Ta2MoC after structural relaxation, with properties calculated at the PBE level.

Results
calculated volume = 177.34 Å³/cell
E = -133.7 eV for the cell shown

Cell: 3.0710 3.0710 21.7122 Å, 90.00 90.00 120.00°
Space group R3m (No. 160, hexagonal axes)
Symmetry-distinct sites (fractional):
Ta1 0.0000 0.0000 0.0000
Ta2 0.0000 0.0000 0.2221
Mo1 0.0000 0.0000 0.4464
C1 0.0000 0.0000 0.7253

Below is Ta2MoC after structural relaxation, with properties calculated at the PBE level.

Results
calculated volume = 118.82 Å³/cell
E = -81.1 eV for the cell shown

Cell: 3.508 3.508 9.658 Å, 90.00 90.00 90.00°
Space group I-4m2 (No. 119)
Symmetry-distinct sites (fractional):
Ta1 0.000 0.000 0.000
Ta2 0.000 0.500 0.250
Mo1 0.000 0.000 0.500
C1 0.000 0.500 0.750

Below is TbTa2MoC4 after structural relaxation, with properties calculated at the PBE level.

Results
calculated volume = 418.17 Å³/cell
E = -312.4 eV for the cell shown

Cell: 3.224 11.423 11.355 Å, 90.00 90.00 90.00°
Space group Cmcm (No. 63)
Symmetry-distinct sites (fractional):
Tb1 0.000 0.111 0.250
Ta1 0.000 0.371 0.034
Mo1 0.000 0.156 0.750
C1 0.000 0.000 0.000
C2 0.000 0.262 0.612
C3 0.000 0.451 0.250

Below is U3Ta2MoC6 after structural relaxation, with properties calculated at the PBE level.

Results
calculated volume = 305.20 Å³/cell
E = -256.8 eV for the cell shown

Cell: 5.627 9.753 5.870 Å, 90.00 108.68 90.00°
Space group C2/m (No. 12)
Symmetry-distinct sites (fractional):
U1 0.000 0.000 0.000
U2 0.000 0.333 0.000
Ta1 0.000 0.167 0.500
Mo1 0.000 0.500 0.500
C1 0.241 0.000 0.725
C2 0.242 0.333 0.725